Entry 1:
This record from the Alexandria database describes Rb3Np2PdS6 after structural relaxation. The functional is PBE-GGA.

Total DFT energy (no corrections) (eV/atom): -6.003
Formation energy from raw total energies (eV/atom): -1.108

Unit cell a=6.8843 b=12.0715 c=7.9812 alpha=90.00 beta=106.39 gamma=90.00
Space group C2/m (No. 12)
One atom of each set of equivalent atoms:
Rb (0.0000, 0.0000, 0.0000) x2
Rb (0.0000, 0.3414, 0.0000) x4
Np (0.0000, 0.1665, 0.5000) x4
Pd (0.0000, 0.5000, 0.5000) x2
S (0.2236, 0.0000, 0.6839) x4
S (0.2371, 0.3254, 0.6924) x8

***

Entry 2:
This record from the Alexandria database describes RbNp4Pd3S12 after structural relaxation. The functional is PBE-GGA.

Total DFT energy (no corrections) (eV/atom): -6.745
Formation energy from raw total energies (eV/atom): -0.853

Unit cell a=9.7588 b=9.7588 c=9.7588 alpha=90.00 beta=90.00 gamma=90.00
Space group Im-3 (No. 204)
One atom of each set of equivalent atoms:
Rb (0.0000, 0.0000, 0.0000) x2
Np (0.2500, 0.2500, 0.2500) x8
Pd (0.0000, 0.0000, 0.5000) x6
S (0.0000, 0.1641, 0.3191) x24

***

Entry 3:
This record from the Alexandria database describes Rb2NpPd2Se4 after structural relaxation. The functional is PBE-GGA.

Total DFT energy (no corrections) (eV/atom): -5.263
Formation energy from raw total energies (eV/atom): -0.907

Unit cell a=15.2052 b=4.1859 c=8.1442 alpha=90.00 beta=108.81 gamma=90.00
Space group C2/m (No. 12)
One atom of each set of equivalent atoms:
Rb (0.1348, 0.0000, 0.0734) x4
Np (0.0000, 0.0000, 0.5000) x2
Pd (0.1842, 0.5000, 0.4953) x4
Se (0.0135, 0.5000, 0.2732) x4
Se (0.1912, 0.0000, 0.6746) x4

***

Entry 4:
This record from the Alexandria database describes RbNp3Pd2Se6 after structural relaxation. The functional is PBE-GGA.

Total DFT energy (no corrections) (eV/atom): -6.865
Formation energy from raw total energies (eV/atom): -0.941

Unit cell a=20.2529 b=4.2147 c=9.6643 alpha=90.00 beta=113.78 gamma=90.00
Space group C2/m (No. 12)
One atom of each set of equivalent atoms:
Rb (0.0000, 0.0000, 0.0000) x2
Np (0.0000, 0.0000, 0.5000) x2
Np (0.1687, 0.5000, 0.8309) x4
Pd (0.1116, 0.5000, 0.4726) x4
Se (0.0148, 0.5000, 0.7255) x4
Se (0.1582, 0.0000, 0.6206) x4
Se (0.1784, 0.0000, 0.0368) x4

***

Entry 5:
This record from the Alexandria database describes RbNp2PdSe4 after structural relaxation. The functional is PBE-GGA.

Total DFT energy (no corrections) (eV/atom): -6.816
Formation energy from raw total energies (eV/atom): -1.069

Unit cell a=4.1918 b=14.2551 c=14.4861 alpha=90.00 beta=90.00 gamma=90.00
Space group Cmcm (No. 63)
One atom of each set of equivalent atoms:
Rb (0.0000, 0.1136, 0.2500) x4
Np (0.0000, 0.3677, 0.0663) x8
Pd (0.0000, 0.1640, 0.7500) x4
Se (0.0000, 0.0000, 0.0000) x4
Se (0.0000, 0.2634, 0.6032) x8
Se (0.0000, 0.4354, 0.2500) x4

***

Entry 6:
This record from the Alexandria database describes RbNpPdSe3 after structural relaxation. The functional is PBE-GGA.

Total DFT energy (no corrections) (eV/atom): -5.912
Formation energy from raw total energies (eV/atom): -0.986

Unit cell a=9.1739 b=4.1943 c=9.8721 alpha=90.00 beta=110.09 gamma=90.00
Space group P2_1/m (No. 11)
One atom of each set of equivalent atoms:
Rb (0.2089, 0.2500, 0.2503) x2
Np (0.3163, 0.7500, 0.8434) x2
Pd (0.0866, 0.2500, 0.5897) x2
Se (0.1235, 0.2500, 0.8663) x2
Se (0.2169, 0.7500, 0.5458) x2
Se (0.4666, 0.7500, 0.1507) x2

***

Entry 7:
This record from the Alexandria database describes RbNpPdSe2 after structural relaxation. The functional is PBE-GGA.

Total DFT energy (no corrections) (eV/atom): -6.084
Formation energy from raw total energies (eV/atom): -0.869

Unit cell a=8.3964 b=4.8567 c=7.8079 alpha=90.00 beta=100.50 gamma=90.00
Space group P2/c (No. 13)
One atom of each set of equivalent atoms:
Rb (0.0000, 0.1859, 0.2500) x2
Np (0.5000, 0.4900, 0.7500) x2
Pd (0.5000, 0.0000, 0.0000) x2
Se (0.2634, 0.3127, 0.9581) x4

***

Entry 8:
This record from the Alexandria database describes Rb3Np3Te8Pd after structural relaxation. The functional is PBE-GGA.

Total DFT energy (no corrections) (eV/atom): -5.512
Formation energy from raw total energies (eV/atom): -0.708

Unit cell a=15.2388 b=8.8001 c=10.1344 alpha=90.00 beta=120.06 gamma=90.00
Space group C2/m (No. 12)
One atom of each set of equivalent atoms:
Rb (0.0000, 0.0000, 0.0000) x2
Rb (0.2500, 0.2500, 0.0000) x4
Np (0.0000, 0.5000, 0.5000) x2
Np (0.2500, 0.2500, 0.5000) x4
Te (0.0163, 0.2338, 0.3150) x8
Te (0.2187, 0.0000, 0.6858) x4
Te (0.2345, 0.5000, 0.7035) x4
Pd (0.0000, 0.0000, 0.5000) x2

***

Entry 9:
This record from the Alexandria database describes Rb4Np3Te8Pd after structural relaxation. The functional is PBE-GGA.

Total DFT energy (no corrections) (eV/atom): -5.316
Formation energy from raw total energies (eV/atom): -0.752

Unit cell a=8.9766 b=8.9766 c=25.5561 alpha=90.00 beta=90.00 gamma=120.00
Space group R-3m (No. 166, hexagonal axes)
One atom of each set of equivalent atoms:
Rb (0.0000, 0.0000, 0.0000) x3
Rb (0.0000, 0.5000, 0.0000) x9
Np (0.0000, 0.5000, 0.5000) x9
Te (0.0000, 0.0000, 0.2346) x6
Te (0.0143, 0.5072, 0.2298) x18
Pd (0.0000, 0.0000, 0.5000) x3

***

Entry 10:
This record from the Alexandria database describes Rb2NpTe4Pd2 after structural relaxation. The functional is PBE-GGA.

Total DFT energy (no corrections) (eV/atom): -4.916
Formation energy from raw total energies (eV/atom): -0.713

Unit cell a=16.0081 b=4.4171 c=8.6711 alpha=90.00 beta=108.15 gamma=90.00
Space group C2/m (No. 12)
One atom of each set of equivalent atoms:
Rb (0.1349, 0.0000, 0.0725) x4
Np (0.0000, 0.0000, 0.5000) x2
Te (0.0129, 0.5000, 0.2643) x4
Te (0.1963, 0.0000, 0.6711) x4
Pd (0.1807, 0.5000, 0.4878) x4

***

DOS(E_F) list, top to bottom, in states/eV per cell: 38.00; 80.54; 20.42; 57.70; 89.92; 22.77; 15.36; 54.76; 87.13; 20.70